# ReAs2W, relaxed, DFT GGA-PBEsol
# Energy of formation in eV/f.u.: 1.4
# Theoretical density in g/cm3: 14.29
# Fermi-level density of states in states/eV/f.u.: 2.9
# Spin magnetization in μB/f.u.: 0.00
data_ReAs2W
_chemical_formula_sum 'Re2 As4 W2'
_cell_length_a 8.142
_cell_length_b 2.953
_cell_length_c 5.145
_cell_angle_alpha 90.00
_cell_angle_beta 102.50
_cell_angle_gamma 90.00
_symmetry_space_group_name_H-M 'C 1 2/m 1'
_symmetry_Int_Tables_number 12
loop_
_symmetry_equiv_pos_as_xyz
'x,y,z'
'-x,-y,-z'
'-x,y,-z'
'x,-y,z'
'x+1/2,y+1/2,z'
'-x+1/2,-y+1/2,-z'
'-x+1/2,y+1/2,-z'
'x+1/2,-y+1/2,z'
loop_
_atom_site_label
_atom_site_type_symbol
_atom_site_fract_x
_atom_site_fract_y
_atom_site_fract_z
Re1 Re 0.000 0.000 0.000
As1 As 0.248 0.500 0.246
W1 W 0.000 0.500 0.500

=====

# MnBe2Ru2, relaxed, DFT GGA-PBEsol
# Energy of formation in eV/f.u.: -1.0
# Theoretical density in g/cm3: 8.56
# Fermi-level density of states in states/eV/f.u.: 2.6
# Spin magnetization in μB/f.u.: 3.03
data_MnBe2Ru2
_chemical_formula_sum 'Mn2 Be4 Ru4'
_cell_length_a 6.005
_cell_length_b 6.005
_cell_length_c 2.960
_cell_angle_alpha 90.00
_cell_angle_beta 90.00
_cell_angle_gamma 90.00
_symmetry_space_group_name_H-M 'P 4/m b m'
_symmetry_Int_Tables_number 127
_symmetry_space_group_name_Hall '-P 4 2ab'
loop_
_atom_site_label
_atom_site_type_symbol
_atom_site_fract_x
_atom_site_fract_y
_atom_site_fract_z
Mn1 Mn 0.000 0.000 0.000
Be1 Be 0.122 0.378 0.000
Ru1 Ru 0.176 0.676 0.500

=====

# FeSi2Pt, relaxed, DFT GGA-PBEsol
# Formation energy without anion corrections in eV per atom: 0.06
# Theoretical density in g/cm3: 9.66
# Fermi-level density of states in states/eV/f.u.: 2.8
# Spin magnetization in μB/f.u.: 1.88
data_FeSi2Pt
_chemical_formula_sum 'Fe4 Si8 Pt4'
_cell_length_a 5.954
_cell_length_b 5.954
_cell_length_c 5.954
_cell_angle_alpha 90.00
_cell_angle_beta 90.00
_cell_angle_gamma 90.00
_symmetry_space_group_name_H-M 'F -4 3 m'
_symmetry_Int_Tables_number 216
_symmetry_space_group_name_Hall 'F -4 2 3'
loop_
_atom_site_label
_atom_site_type_symbol
_atom_site_fract_x
_atom_site_fract_y
_atom_site_fract_z
Fe1 Fe 0.000 0.000 0.000
Si1 Si 0.000 0.000 0.500
Si2 Si 0.250 0.250 0.250
Pt1 Pt 0.250 0.250 0.750

=====

# LiY2OsO, relaxed, DFT GGA-PBEsol
# Formation energy without anion corrections in eV per atom: -1.21
# Theoretical density in g/cm3: 8.04
# Fermi-level density of states in states/eV/f.u.: 2.7
# Spin magnetization in μB/f.u.: 0.00
data_LiY2OsO
_chemical_formula_sum 'Li1 Y2 Os1 O1'
_cell_length_a 4.700
_cell_length_b 4.700
_cell_length_c 3.654
_cell_angle_alpha 90.00
_cell_angle_beta 90.00
_cell_angle_gamma 90.00
_symmetry_space_group_name_H-M 'P 4/m m m'
_symmetry_Int_Tables_number 123
_symmetry_space_group_name_Hall '-P 4 2'
loop_
_atom_site_label
_atom_site_type_symbol
_atom_site_fract_x
_atom_site_fract_y
_atom_site_fract_z
Li1 Li 0.000 0.000 0.000
Y1 Y 0.000 0.500 0.500
Os1 Os 0.500 0.500 0.000
O1 O 0.000 0.000 0.500